# 1
A plane-wave DFT calculation with GGA-PBEsol was carried out for Y2BiBrF after structural relaxation.

Lattice parameters (Å, degrees): 5.3018 5.3018 4.6439 90.00 90.00 90.00
Fractional positions:
Y: 0.0000 0.5000 0.0000
Y: 0.5000 0.0000 0.0000
Bi: 0.0000 0.0000 0.5000
Br: 0.5000 0.5000 0.0000
F: 0.5000 0.5000 0.5000

Properties
Energy relative to the elements, uncorrected (eV/atom): -0.951
Space-group type: P4/mmm
Total moment (μB per atom): 0.00

---

# 2
A plane-wave DFT calculation with GGA-PBEsol was carried out for KSeN2O after structural relaxation.

Lattice parameters (Å, degrees): 5.2523 5.2523 4.8412 90.00 90.00 90.00
Fractional positions:
K: 0.0000 0.0000 0.0000
Se: 0.5000 0.5000 0.5000
N: 0.0000 0.5000 0.0000
N: 0.5000 0.0000 0.0000
O: 0.0000 0.0000 0.5000

Properties
Energy relative to the elements, uncorrected (eV/atom): 2.502
Space-group type: P4/mmm
Total moment (μB per atom): 1.80